Record 1
Material: SrSi2Ru
Method: DFT, PBE
State: relaxed

a b c (Å): 3.0160 3.3966 7.0683
angles (deg): 90.00 90.00 90.00
Last column: nearest neighbours and their distance in Å.
Atoms (fractional coordinates):
1 Sr 0.0000 0.0000 0.0000  2 Sr 3.02, 8 Si 3.21
2 Si 0.5000 0.5000 0.3218  1 Si 2.52, 4 Ru 2.60
3 Si 0.5000 0.5000 0.6782  1 Si 2.52, 4 Ru 2.60
4 Ru 0.0000 0.0000 0.5000  8 Si 2.60

Total magnetization, μB per formula unit: 0.0
Fermi-level density of states, states/eV/atom: 0.62
ΔE_f (raw), eV per atom: -0.257
Calculated total energy, eV per atom: -5.708

Record 2
Material: Tb2Nd3Se8
Method: DFT, PBE
State: relaxed

a b c (Å): 8.4158 8.4158 7.1638
angles (deg): 107.30 107.30 60.15
Last column: nearest neighbours and their distance in Å.
Atoms (fractional coordinates):
1 Tb 0.2416 0.2416 0.1585  6 Se 2.84-2.95
2 Tb 0.7584 0.7584 0.8415  6 Se 2.84-2.95
3 Nd 0.2370 0.7630 0.5000  6 Se 2.92-2.98
4 Nd 0.5000 0.5000 0.0000  6 Se 2.93-3.00
5 Nd 0.7630 0.2370 0.5000  6 Se 2.92-2.98
6 Se 0.1197 0.1197 0.3948  1 Tb 2.84, 2 Nd 2.92
7 Se 0.1349 0.6102 0.0821  2 Nd 2.93-2.94, 2 Tb 2.94-2.95
8 Se 0.3780 0.3780 0.5676  1 Tb 2.92, 3 Nd 2.98-3.00
9 Se 0.3898 0.8651 0.9179  2 Nd 2.93-2.94, 2 Tb 2.94-2.95
10 Se 0.6102 0.1349 0.0821  2 Nd 2.93-2.94, 2 Tb 2.94-2.95
11 Se 0.6220 0.6220 0.4324  1 Tb 2.92, 3 Nd 2.98-3.00
12 Se 0.8651 0.3898 0.9179  2 Nd 2.93-2.94, 2 Tb 2.94-2.95
13 Se 0.8803 0.8803 0.6052  1 Tb 2.84, 2 Nd 2.92

Total magnetization, μB per formula unit: 0.0
Fermi-level density of states, states/eV/atom: 0.59
ΔE_f (raw), eV per atom: -1.675
Calculated total energy, eV per atom: -5.632

Record 3
Material: SmErCo
Method: DFT, PBE
State: relaxed

a b c (Å): 13.1761 3.3774 6.7933
angles (deg): 90.00 105.22 90.00
Last column: nearest neighbours and their distance in Å.
Atoms (fractional coordinates):
1 Sm 0.1286 0.0000 0.0660  4 Co 2.94-2.96, 1 Sm 3.27
2 Sm 0.3714 0.5000 0.9340  4 Co 2.94-2.96, 1 Sm 3.27
3 Sm 0.6286 0.5000 0.0660  4 Co 2.94-2.96, 1 Sm 3.27
4 Sm 0.8714 0.0000 0.9340  4 Co 2.94-2.96, 1 Sm 3.27
5 Er 0.1266 0.0000 0.5623  4 Co 2.83-2.84
6 Er 0.3734 0.5000 0.4377  4 Co 2.83-2.84
7 Er 0.6266 0.5000 0.5623  4 Co 2.83-2.84
8 Er 0.8734 0.0000 0.4377  4 Co 2.83-2.84
9 Co 0.0017 0.5000 0.7387  4 Er 2.83-2.84, 4 Sm 2.94-2.96
10 Co 0.4983 0.0000 0.2613  4 Er 2.83-2.84, 4 Sm 2.94-2.96
11 Co 0.5017 0.0000 0.7387  4 Er 2.83-2.84, 4 Sm 2.94-2.96
12 Co 0.9983 0.5000 0.2613  4 Er 2.83-2.84, 4 Sm 2.94-2.96

Total magnetization, μB per formula unit: 0.6
Fermi-level density of states, states/eV/atom: 0.87
Distance to the lowest polymorph of the same formula, meV/atom: 66
Energy relative to the elements, eV per atom: -0.08
Calculated total energy, eV per atom: -5.542

Record 4
Material: Ce6Pt3N
Method: DFT, PBE
State: relaxed

a b c (Å): 6.4108 7.4645 11.9490
angles (deg): 90.00 121.79 90.00
Last column: nearest neighbours and their distance in Å.
Atoms (fractional coordinates):
1 Ce 0.0758 0.2046 0.4330  1 N 2.48
2 Ce 0.0758 0.2954 0.9330  1 N 2.48
3 Ce 0.2632 0.6558 0.4403  1 N 2.44
4 Ce 0.2632 0.8442 0.9403  1 N 2.44
5 Ce 0.3729 0.0458 0.2295  1 N 2.54
6 Ce 0.3729 0.4542 0.7295  1 N 2.54
7 Ce 0.6271 0.5458 0.2705  1 N 2.54
8 Ce 0.6271 0.9542 0.7705  1 N 2.54
9 Ce 0.7368 0.1558 0.0597  1 N 2.44
10 Ce 0.7368 0.3442 0.5597  1 N 2.44
11 Ce 0.9242 0.7046 0.0670  1 N 2.48
12 Ce 0.9242 0.7954 0.5670  1 N 2.48
13 Pt 0.1738 0.1098 0.7375  6 Ce 2.89-3.05
14 Pt 0.1738 0.3902 0.2375  6 Ce 2.89-3.05
15 Pt 0.5000 0.0000 0.5000  6 Ce 2.84-2.91
16 Pt 0.5000 0.5000 0.0000  6 Ce 2.84-2.91
17 Pt 0.8262 0.6098 0.7625  6 Ce 2.89-3.05
18 Pt 0.8262 0.8902 0.2625  6 Ce 2.89-3.05
19 N 0.0000 0.0000 0.0000  6 Ce 2.44-2.54
20 N 0.0000 0.5000 0.5000  6 Ce 2.44-2.54

Total magnetization, μB per formula unit: 3.9
Fermi-level density of states, states/eV/atom: 2.71
ΔE_f (raw), eV per atom: -0.886
Calculated total energy, eV per atom: -7.091

Record 5
Material: Mg3PtRh
Method: DFT, PBE
State: relaxed

a b c (Å): 4.8341 4.8341 4.8341
angles (deg): 90.00 90.00 90.00
Last column: nearest neighbours and their distance in Å.
Atoms (fractional coordinates):
1 Mg 0.0000 0.0000 0.5000  2 Pt 2.42
2 Mg 0.0000 0.5000 0.0000  2 Pt 2.42
3 Mg 0.5000 0.0000 0.0000  2 Pt 2.42
4 Pt 0.0000 0.0000 0.0000  6 Mg 2.42
5 Rh 0.5000 0.5000 0.5000  12 Mg 3.42

Total magnetization, μB per formula unit: 0.0
Fermi-level density of states, states/eV/atom: 0.61
Distance to the lowest polymorph of the same formula, meV/atom: 0
Energy relative to the elements, eV per atom: 0.12
Calculated total energy, eV per atom: -3.518

Record 6
Material: Na2SrAu4
Method: DFT, PBE
State: relaxed

a b c (Å): 3.9544 4.7048 19.1009
angles (deg): 90.00 90.00 90.00
Last column: nearest neighbours and their distance in Å.
Atoms (fractional coordinates):
1 Na 0.0000 0.0000 0.1926  7 Au 3.05-3.19
2 Na 0.0000 0.0000 0.8074  7 Au 3.05-3.19
3 Na 0.5000 0.5000 0.3074  7 Au 3.05-3.19
4 Na 0.5000 0.5000 0.6926  7 Au 3.05-3.19
5 Sr 0.0000 0.5000 0.0000  12 Au 3.36-3.44
6 Sr 0.5000 0.0000 0.5000  12 Au 3.36-3.44
7 Au 0.0000 0.0000 0.3526  2 Au 2.77, 1 Na 3.06
8 Au 0.0000 0.0000 0.6474  2 Au 2.77, 1 Na 3.06
9 Au 0.0000 0.5000 0.4287  3 Au 2.72-2.77, 2 Na 3.05
10 Au 0.0000 0.5000 0.5713  3 Au 2.72-2.77, 2 Na 3.05
11 Au 0.5000 0.0000 0.0713  3 Au 2.72-2.77, 2 Na 3.05
12 Au 0.5000 0.0000 0.9287  3 Au 2.72-2.77, 2 Na 3.05
13 Au 0.5000 0.5000 0.1474  2 Au 2.77, 1 Na 3.06
14 Au 0.5000 0.5000 0.8526  2 Au 2.77, 1 Na 3.06

Total magnetization, μB per formula unit: 0.0
Fermi-level density of states, states/eV/atom: 0.48
Energy relative to the elements, eV per atom: -0.46
Calculated total energy, eV per atom: -2.950

Record 7
Material: CsCuAg3
Method: DFT, PBE
State: relaxed

a b c (Å): 5.1804 5.1804 5.1804
angles (deg): 90.00 90.00 90.00
Last column: nearest neighbours and their distance in Å.
Atoms (fractional coordinates):
1 Cs 0.0000 0.0000 0.0000  12 Ag 3.66
2 Cu 0.5000 0.5000 0.5000  6 Ag 2.59
3 Ag 0.0000 0.5000 0.5000  2 Cu 2.59
4 Ag 0.5000 0.0000 0.5000  2 Cu 2.59
5 Ag 0.5000 0.5000 0.0000  2 Cu 2.59

Total magnetization, μB per formula unit: 0.0
Fermi-level density of states, states/eV/atom: 0.34
Distance to the lowest polymorph of the same formula, meV/atom: 0
Energy relative to the elements, eV per atom: 0.33
Calculated total energy, eV per atom: -2.368

Record 8
Material: PrScIn6
Method: DFT, PBE
State: relaxed

a b c (Å): 4.6422 4.6422 9.2382
angles (deg): 90.00 90.00 90.00
Last column: nearest neighbours and their distance in Å.
Atoms (fractional coordinates):
1 Pr 0.0000 0.0000 0.0000  12 In 3.28-3.35
2 Sc 0.0000 0.0000 0.5000  12 In 3.20-3.28
3 In 0.0000 0.5000 0.2621  8 In 3.20-3.35, 2 Sc 3.20, 2 Pr 3.35
4 In 0.0000 0.5000 0.7379  8 In 3.20-3.35, 2 Sc 3.20, 2 Pr 3.35
5 In 0.5000 0.0000 0.2621  8 In 3.20-3.35, 2 Sc 3.20, 2 Pr 3.35
6 In 0.5000 0.0000 0.7379  8 In 3.20-3.35, 2 Sc 3.20, 2 Pr 3.35
7 In 0.5000 0.5000 0.0000  4 Pr 3.28, 8 In 3.35
8 In 0.5000 0.5000 0.5000  8 In 3.20, 4 Sc 3.28

Total magnetization, μB per formula unit: 0.0
Fermi-level density of states, states/eV/atom: 0.32
Energy relative to the elements, eV per atom: -0.39
Calculated total energy, eV per atom: -3.830